VASP calculation (SCAN) on BaScMo2 at its PBEsol-relaxed geometry.

Cell lengths 3.309, 4.721, 10.225 Å; angles 90.00, 90.00, 90.00 degrees
Fractional positions:
Ba1 0.000 0.000 0.000
Ba2 0.500 0.500 0.500
Sc1 0.000 0.000 0.500
Sc2 0.500 0.500 0.000
Mo1 0.000 0.500 0.243
Mo2 0.000 0.500 0.757
Mo3 0.500 0.000 0.257
Mo4 0.500 0.000 0.743

Summary:
Energy above the lowest structure with this stoichiometry (eV/atom): 0.4780
Total magnetization (Bohr magnetons per cell): 0.0
Formation energy (eV/atom): 1.181